1.
Below is a relaxed structure of LaTa2Ti, with properties calculated at the PBE level.

Theoretical density ... 11123 kg/m³
Total magnetic moment ... 0.0 μB per formula unit
E above lowest polymorph ... 0 meV per atom
Energy relative to the elements ... 0.5542 eV/atom

```
4
Lattice="0.0000 3.4470 3.4470 3.4470 0.0000 3.4470 3.4470 3.4470 0.0000" Properties=species:S:1:pos:R:3 pbc="T T T"
La 0.0000 0.0000 0.0000
Ta 1.7235 1.7235 1.7235
Ta 5.1704 5.1704 5.1704
Ti 3.4470 3.4470 3.4470
```

2.
Below is a relaxed structure of BeRe4W, with properties calculated at the PBE level.

Theoretical density ... 16406 kg/m³
Total magnetic moment ... 0.0 μB per formula unit
Energy relative to the elements ... 0.5230 eV/atom

```
6
Lattice="0.0000 3.6204 3.6204 3.6204 0.0000 3.6204 3.6204 3.6204 0.0000" Properties=species:S:1:pos:R:3 pbc="T T T"
Be 0.0000 0.0000 0.0000
Re 4.5315 2.7093 2.7093
Re 2.7093 4.5315 2.7093
Re 2.7093 2.7093 4.5315
Re 4.5315 4.5315 4.5315
W 1.8102 1.8102 1.8102
```